This record from the Alexandria database describes a relaxed structure of AcPmSmDy. The functional is PBE.

Calculated formation energy in eV per formula unit: 0.85
Energy in eV per atom: -4.333
Magnetic moment in μB per formula unit: 0.01
ΔE to the lowest computed polymorph in eV per atom: 0.079

Unit cell a=3.5445 b=7.0558 c=5.8182 alpha=90.01 beta=90.00 gamma=90.00
Sites, in units of the cell vectors:
Ac 0.0000 0.4532 0.5166
Pm 0.5000 0.7118 0.0165
Sm 0.0000 0.1744 0.0161
Dy 0.0000 0.9410 0.5160

***

This record from the Alexandria database describes a relaxed structure of AcPm3SmDy. The functional is PBE.

Calculated formation energy in eV per formula unit: 0.21
Energy in eV per atom: -4.578
Magnetic moment in μB per formula unit: 0.00

Unit cell a=5.2190 b=8.2465 c=11.0302 alpha=116.48 beta=90.00 gamma=90.00
Sites, in units of the cell vectors:
Ac 0.2500 0.1237 0.2927
Ac 0.7500 0.8763 0.7073
Pm 0.7500 0.8683 0.0400
Pm 0.2500 0.1317 0.9600
Pm 0.2500 0.6256 0.4536
Pm 0.7500 0.3744 0.5464
Pm 0.7500 0.3798 0.2073
Pm 0.2500 0.6202 0.7927
Sm 0.2500 0.6206 0.1243
Sm 0.7500 0.3794 0.8757
Dy 0.2500 0.1291 0.6270
Dy 0.7500 0.8709 0.3730